# SrNpP2Ru PBE optimized geometry
data_SrNpP2Ru
_space_group_name_H-M_alt 'I -4 m 2'
_space_group_IT_number 119
_space_group_name_Hall 'I -4 -2'
_cell_length_a 4.033
_cell_length_b 4.033
_cell_length_c 13.216
_cell_angle_alpha 90.00
_cell_angle_beta 90.00
_cell_angle_gamma 90.00
loop_
_atom_site_label
_atom_site_fract_x
_atom_site_fract_y
_atom_site_fract_z
_atom_site_occupancy
Sr1 0.000 0.000 0.000 1
Np1 0.000 0.500 0.250 1
P1 0.000 0.000 0.385 1
Ru1 0.000 0.500 0.750 1
# Formation enthalpy at 0 K ... -0.53 eV/atom
# Calculated density ... 7.5 g/cm³
# Calculated total energy ... -74.70 eV/cell

# Tb6Tl2Cu PBE optimized geometry
data_Tb6Tl2Cu
_space_group_name_H-M_alt 'I m m m'
_space_group_IT_number 71
_space_group_name_Hall '-I 2 2'
_cell_length_a 5.111
_cell_length_b 7.256
_cell_length_c 15.100
_cell_angle_alpha 90.00
_cell_angle_beta 90.00
_cell_angle_gamma 90.00
loop_
_atom_site_label
_atom_site_fract_x
_atom_site_fract_y
_atom_site_fract_z
_atom_site_occupancy
Tb1 0.000 0.229 0.000 1
Tb2 0.000 0.259 0.343 1
Tl1 0.000 0.500 0.167 1
Cu1 0.000 0.500 0.500 1
# Formation enthalpy at 0 K ... 0.01 eV/atom
# Calculated density ... 8.5 g/cm³
# Calculated total energy ... -73.10 eV/cell

# LaCe3O PBE optimized geometry
data_LaCe3O
_space_group_name_H-M_alt 'P m -3 m'
_space_group_IT_number 221
_space_group_name_Hall '-P 4 2 3'
_cell_length_a 4.949
_cell_length_b 4.949
_cell_length_c 4.949
_cell_angle_alpha 90.00
_cell_angle_beta 90.00
_cell_angle_gamma 90.00
loop_
_atom_site_label
_atom_site_fract_x
_atom_site_fract_y
_atom_site_fract_z
_atom_site_occupancy
La1 0.000 0.000 0.000 1
Ce1 0.000 0.500 0.500 1
O1 0.500 0.500 0.500 1
# ΔE_f (raw) ... -1.07 eV/atom
# Calculated density ... 7.9 g/cm³
# Calculated total energy ... -33.05 eV/cell